Record 1
Density functional theory data (meta-GGA SCAN) for a PBEsol-optimized structure of Y2BeCd.

## Properties
The magnetic moment comes out at 0.00 μB per cell. As for the space group: P4mm (99). Its energy of formation from the pure elements is 27 meV per atom. The calculation puts the polymorph energy (0 for the lowest one) at 238 meV per atom. The calculation puts the density of states at the Fermi level at 0.8347 states/eV/atom.

Cell: 3.2468 3.2468 8.3878 Å, 90.00 90.00 90.00°
Last column: nearest neighbours and their distance in Å.
Atoms (fractional coordinates):
Y 0.0000 0.0000 0.0000  8 Y 3.25-3.62, 4 Cd 3.27
Y 0.5000 0.5000 0.3338  4 Be 2.98, 4 Y 3.25, 1 Cd 3.26
Be 0.0000 0.0000 0.5603  4 Cd 2.67, 4 Y 2.98
Cd 0.5000 0.5000 0.7225  4 Be 2.67

---

Record 2
Density functional theory data (meta-GGA SCAN) for a PBEsol-optimized structure of Li2InP2O8.

## Properties
The magnetic moment comes out at 2.02 μB per cell. As for the space group: P2_1/c (14). As for the energy: -10.63 eV/atom.

Cell: 4.9492 8.3585 8.4307 Å, 90.00 116.81 90.00°
Last column: nearest neighbours and their distance in Å.
Atoms (fractional coordinates):
Li 0.0655 0.1257 0.1647  4 O 1.92-2.05
Li 0.0655 0.3743 0.6647  4 O 1.92-2.05
Li 0.9345 0.6257 0.3353  4 O 1.92-2.05
Li 0.9345 0.8743 0.8353  4 O 1.92-2.05
In 0.0000 0.0000 0.5000  6 O 2.13-2.18
In 0.0000 0.5000 0.0000  6 O 2.13-2.18
P 0.3393 0.6606 0.7380  4 O 1.54-1.55
P 0.3393 0.8394 0.2380  4 O 1.54-1.55
P 0.6607 0.1606 0.7620  4 O 1.54-1.55
P 0.6607 0.3394 0.2620  4 O 1.54-1.55
O 0.1810 0.6757 0.2053  1 P 1.54
O 0.1810 0.8243 0.7053  1 P 1.54
O 0.2419 0.5523 0.8506  1 P 1.54
O 0.2419 0.9477 0.3506  1 P 1.54
O 0.2561 0.5681 0.5630  1 P 1.55
O 0.2561 0.9319 0.0630  1 P 1.55
O 0.3122 0.1837 0.6664  1 P 1.55
O 0.3122 0.3163 0.1664  1 P 1.55
O 0.6878 0.6837 0.8336  1 P 1.55
O 0.6878 0.8163 0.3336  1 P 1.55
O 0.7439 0.0681 0.9370  1 P 1.55
O 0.7439 0.4319 0.4370  1 P 1.55
O 0.7581 0.0523 0.6494  1 P 1.54
O 0.7581 0.4477 0.1494  1 P 1.54
O 0.8190 0.1757 0.2947  1 P 1.54
O 0.8190 0.3243 0.7947  1 P 1.54

---

Record 3
Density functional theory data (meta-GGA SCAN) for a PBEsol-optimized structure of ZrCuAu.

## Properties
The magnetic moment comes out at 0.00 μB per cell. As for the space group: P-6m2 (187). Its energy of formation from the pure elements is -515 meV per atom. The calculation puts the polymorph energy (0 for the lowest one) at 0 meV per atom. The calculation puts the density of states at the Fermi level at 0.5908 states/eV/atom.

Cell: 4.4587 4.4587 2.8652 Å, 90.00 90.00 120.00°
Last column: nearest neighbours and their distance in Å.
Atoms (fractional coordinates):
Zr 0.0000 0.0000 0.0000  2 Zr 2.87, 6 Au 2.95, 6 Cu 2.95
Cu 0.6667 0.3333 0.5000  3 Au 2.57, 2 Cu 2.87
Au 0.3333 0.6667 0.5000  3 Cu 2.57, 2 Au 2.87